No. 1
VASP calculation (GGA-PBE) on a geometry-optimized Tc2AsPt structure.

a b c (Å): 4.427 4.427 4.427
angles (deg): 60.00 60.00 60.00
Site moments in Bohr magnetons follow the coordinates.
Sites, in units of the cell vectors:
Pt 0.250 0.250 0.250  0.23
Tc 0.000 0.000 0.000  0.19
Tc 0.750 0.750 0.750  0.31
As 0.500 0.500 0.500  0.02

Summary:
electronic total energy: -7.49 eV/atom
crystal system: cubic


No. 2
VASP calculation (GGA-PBE) on a geometry-optimized TeAsPt structure.

a b c (Å): 4.571 4.571 4.571
angles (deg): 60.00 60.00 60.00
Sites, in units of the cell vectors:
As 0.250 0.250 0.250
Pt 0.000 0.000 0.000
Te 0.750 0.750 0.750

Summary:
electronic total energy: -4.73 eV/atom
crystal system: cubic


No. 3
VASP calculation (GGA-PBE) on a geometry-optimized TlAs5Pt3 structure.

a b c (Å): 5.696 5.696 7.212
angles (deg): 90.00 90.00 120.00
Site moments in Bohr magnetons follow the coordinates.
Sites, in units of the cell vectors:
Tl 0.000 0.000 0.000  0.01
As 0.667 0.333 0.771  0.01
Pt 0.500 0.000 0.500  0.01
As 0.667 0.333 0.229  0.00
Pt 0.500 0.500 0.500  0.01
As 0.333 0.667 0.771  0.00
As 0.333 0.667 0.229  0.01
As 0.000 0.000 0.500  0.19
Pt 0.000 0.500 0.500  0.01

Summary:
electronic total energy: -4.83 eV/atom
crystal system: hexagonal


No. 4
VASP calculation (GGA-PBE) on a geometry-optimized Tl3As2Pt3 structure.

a b c (Å): 7.521 7.521 7.521
angles (deg): 43.71 43.71 43.71
Sites, in units of the cell vectors:
Tl 0.500 0.500 0.500
Pt 0.000 0.500 0.500
Pt 0.500 0.000 0.500
Tl 0.082 0.082 0.082
As 0.239 0.239 0.239
Pt 0.500 0.500 0.000
Tl 0.918 0.918 0.918
As 0.761 0.761 0.761

Summary:
electronic total energy: -4.40 eV/atom
crystal system: trigonal


No. 5
VASP calculation (GGA-PBE) on a geometry-optimized TlAsPt structure.

a b c (Å): 4.546 4.546 4.546
angles (deg): 60.00 60.00 60.00
Sites, in units of the cell vectors:
As 0.250 0.250 0.250
Tl 0.750 0.750 0.750
Pt 0.000 0.000 0.000

Summary:
electronic total energy: -4.37 eV/atom
crystal system: cubic


No. 6
VASP calculation (GGA-PBE) on a geometry-optimized TmAs2Pt structure.

a b c (Å): 9.110 9.110 9.110
angles (deg): 151.41 151.41 40.88
Sites, in units of the cell vectors:
As 0.375 0.808 0.933
Tm 0.000 0.000 0.000
Tm 0.750 0.250 0.500
As 0.192 0.125 0.567
Pt 0.500 0.500 0.000
As 0.558 0.625 0.433
As 0.875 0.442 0.067
Pt 0.250 0.750 0.500

Summary:
electronic total energy: -5.52 eV/atom
crystal system: tetragonal


No. 7
VASP calculation (GGA-PBE) on a geometry-optimized AsPt2W structure.

a b c (Å): 4.471 4.471 4.471
angles (deg): 60.00 60.00 60.00
Sites, in units of the cell vectors:
As 0.500 0.500 0.500
W 0.250 0.250 0.250
Pt 0.750 0.750 0.750
Pt 0.000 0.000 0.000

Summary:
electronic total energy: -7.33 eV/atom
crystal system: cubic


No. 8
VASP calculation (GGA-PBE) on a geometry-optimized YAsPt2 structure.

a b c (Å): 4.709 4.709 4.709
angles (deg): 60.00 60.00 60.00
Sites, in units of the cell vectors:
As 0.500 0.500 0.500
Y 0.250 0.250 0.250
Pt 0.000 0.000 0.000
Pt 0.750 0.750 0.750

Summary:
electronic total energy: -6.41 eV/atom
crystal system: cubic


No. 9
VASP calculation (GGA-PBE) on a geometry-optimized Y2AsPt structure.

a b c (Å): 4.956 4.956 4.956
angles (deg): 60.00 60.00 60.00
Site moments in Bohr magnetons follow the coordinates.
Sites, in units of the cell vectors:
Y 0.000 0.000 0.000  0.03
Y 0.750 0.750 0.750  0.06
Pt 0.250 0.250 0.250  0.01
As 0.500 0.500 0.500  0.00

Summary:
electronic total energy: -6.28 eV/atom
crystal system: cubic


No. 10
VASP calculation (GGA-PBE) on a geometry-optimized ZnAsPt2 structure.

a b c (Å): 4.499 4.499 4.499
angles (deg): 60.00 60.00 60.00
Sites, in units of the cell vectors:
Zn 0.250 0.250 0.250
Pt 0.750 0.750 0.750
As 0.500 0.500 0.500
Pt 0.000 0.000 0.000

Summary:
electronic total energy: -4.55 eV/atom
crystal system: cubic


No. 11
VASP calculation (GGA-PBE) on a geometry-optimized Zr2AsPt structure.

a b c (Å): 4.748 4.748 4.748
angles (deg): 60.00 60.00 60.00
Site moments in Bohr magnetons follow the coordinates.
Sites, in units of the cell vectors:
Zr 0.750 0.750 0.750  0.60
Pt 0.250 0.250 0.250  0.05
As 0.500 0.500 0.500  -0.04
Zr 0.000 0.000 0.000  0.39

Summary:
electronic total energy: -7.13 eV/atom
crystal system: cubic


No. 12
VASP calculation (GGA-PBE) on a geometry-optimized ZrAsPt structure.

a b c (Å): 4.490 4.490 4.490
angles (deg): 60.00 60.00 60.00
Sites, in units of the cell vectors:
Pt 0.750 0.750 0.750
Zr 0.000 0.000 0.000
As 0.250 0.250 0.250

Summary:
electronic total energy: -7.00 eV/atom
crystal system: cubic